# 1
Here is a geometry-optimized Na2Zn15Au2 structure from Alexandria. Energies are from PBE.

Computed properties:
theoretical density = 7.422 Mg/m³
size of the total moment = 0.00 μB/atom
calculated volume = 317.9 Å³/cell
crystal system = trigonal
density of states at the Fermi level = 5.0 states/eV per cell
formation energy from the elements = -0.082 eV per atom

a = 6.869 Å, b = 6.869 Å, c = 6.869 Å
α = 83.30°, β = 83.30°, γ = 83.30°
Element x y z (fractional)
Na (0.157, 0.157, 0.157)
Na (0.843, 0.843, 0.843)
Zn (0.000, 0.500, 0.500)
Zn (0.150, 0.150, 0.659)
Zn (0.150, 0.659, 0.150)
Zn (0.201, 0.500, 0.800)
Zn (0.201, 0.800, 0.500)
Zn (0.341, 0.850, 0.850)
Zn (0.500, 0.000, 0.500)
Zn (0.500, 0.201, 0.799)
Zn (0.500, 0.500, 0.000)
Zn (0.500, 0.799, 0.201)
Zn (0.659, 0.150, 0.150)
Zn (0.799, 0.201, 0.500)
Zn (0.799, 0.500, 0.201)
Zn (0.850, 0.341, 0.850)
Zn (0.850, 0.850, 0.341)
Au (0.388, 0.388, 0.388)
Au (0.612, 0.612, 0.612)

=====

# 2
Here is a geometry-optimized Pm5Si3Ge3 structure from Alexandria. Energies are from PBE.

Computed properties:
theoretical density = 5.677 Mg/m³
size of the total moment = 0.03 μB/atom
calculated volume = 300.5 Å³/cell
raw formation energy = -0.226 eV/atom
crystal system = hexagonal
density of states at the Fermi level = 9.0 states/eV per cell

a = 9.486 Å, b = 9.486 Å, c = 3.856 Å
α = 90.00°, β = 90.00°, γ = 120.00°
Element x y z (fractional)
Pm (0.000, 0.749, 0.000)
Pm (0.251, 0.251, 0.000)
Pm (0.333, 0.667, 0.000)
Pm (0.667, 0.333, 0.000)
Pm (0.749, 0.000, 0.000)
Si (0.000, 0.231, 0.500)
Si (0.231, 0.000, 0.500)
Si (0.769, 0.769, 0.500)
Ge (0.000, 0.397, 0.000)
Ge (0.397, 0.000, 0.000)
Ge (0.603, 0.603, 0.000)